! PBE-GGA LiNiAu, optimized geometry; values from VASP
! Space group ... No. 12
! Size of the total moment ... 0.58 Bohr magnetons per cell
! Polymorph energy (0 for the lowest one) ... 54 meV/atom
! DOS(E_F) ... 8.23 states/eV/cell
! Final energy ... -3.840 eV/atom
! E_form ... -182.5 meV per atom
&SYSTEM
  ibrav = 0, nat = 12, ntyp = 3
/
ATOMIC_SPECIES
Au 196.97 Au.upf
Li 6.94 Li.upf
Ni 58.69 Ni.upf
ATOMIC_POSITIONS crystal
Au 0.396 0.500 0.660
Li 0.105 0.000 0.345
Li 0.895 0.000 0.655
Li 0.895 0.500 0.155
Ni 0.000 0.500 0.500
Au 0.604 0.000 0.840
Ni 0.500 0.500 0.000
Ni 0.500 0.000 0.500
Ni 0.000 0.000 0.000
Au 0.604 0.500 0.340
Li 0.105 0.500 0.845
Au 0.396 0.000 0.160
CELL_PARAMETERS angstrom
4.357 0.000 -0.001
0.000 2.836 0.000
-0.541 0.000 13.427

=====

! PBE-GGA LiNiPdAu, optimized geometry; values from VASP
! Space group ... No. 216
! Size of the total moment ... 0.00 Bohr magnetons per cell
! DOS(E_F) ... 3.72 states/eV/cell
! Final energy ... -4.255 eV/atom
! E_form ... -213.6 meV per atom
&SYSTEM
  ibrav = 0, nat = 4, ntyp = 4
/
ATOMIC_SPECIES
Ni 58.69 Ni.upf
Au 196.97 Au.upf
Pd 106.42 Pd.upf
Li 6.94 Li.upf
ATOMIC_POSITIONS crystal
Ni 0.500 0.500 0.500
Au 0.250 0.250 0.250
Pd 0.750 0.750 0.750
Li 0.000 0.000 0.000
CELL_PARAMETERS angstrom
4.291 0.000 0.000
2.145 3.716 0.000
2.145 1.239 3.503